First-principles (PBE) data for a relaxed Al2Cu2Se3S crystal, as listed in the Open Quantum Materials Database.

Calculated values
* symmetry: C2

Cell: 6.736 6.736 5.559 Å, 114.02 114.02 48.73°
Fractional positions:
Al 0.123 0.123 0.379
Al 0.877 0.877 0.621
Cu 0.359 0.404 0.145
Cu 0.596 0.641 0.855
Se 0.494 0.007 0.249
Se 0.745 0.255 0.000
Se 0.993 0.506 0.751
S 0.233 0.767 0.500

---

First-principles (PBE) data for a relaxed AlCuSeS crystal, as listed in the Open Quantum Materials Database.

Calculated values
* symmetry: Cc

Cell: 5.480 5.480 6.628 Å, 114.14 114.14 89.98°
Fractional positions:
Al 0.118 0.882 0.500
Al 0.882 0.118 0.000
Cu 0.340 0.617 0.000
Cu 0.617 0.340 0.500
Se 0.494 0.743 0.750
Se 0.743 0.494 0.250
S 0.235 0.994 0.250
S 0.994 0.235 0.750

---

First-principles (PBE) data for a relaxed SrAlCuS3 crystal, as listed in the Open Quantum Materials Database.

Calculated values
* symmetry: P2_1/m

Cell: 7.735 3.763 8.407 Å, 90.00 106.26 90.00°
Fractional positions:
Sr 0.202 0.250 0.253
Sr 0.798 0.750 0.747
Al 0.333 0.750 0.849
Al 0.667 0.250 0.151
Cu 0.076 0.250 0.586
Cu 0.924 0.750 0.414
S 0.124 0.250 0.869
S 0.246 0.750 0.549
S 0.451 0.750 0.144
S 0.549 0.250 0.856
S 0.754 0.250 0.451
S 0.876 0.750 0.131

---

First-principles (PBE) data for a relaxed Al2Cu2TeS3 crystal, as listed in the Open Quantum Materials Database.

Calculated values
* symmetry: C2

Cell: 6.666 6.666 5.515 Å, 113.67 113.67 48.85°
Fractional positions:
Al 0.132 0.132 0.402
Al 0.868 0.868 0.598
Cu 0.408 0.318 0.138
Cu 0.682 0.592 0.862
Te 0.279 0.721 0.000
S 0.017 0.483 0.259
S 0.517 0.983 0.741
S 0.771 0.229 0.500

---

First-principles (PBE) data for a relaxed AlCuSb2 crystal, as listed in the Open Quantum Materials Database.

Calculated values
* symmetry: F-43m

Cell: 4.985 4.985 4.985 Å, 60.00 60.00 60.00°
Fractional positions:
Al 0.000 0.000 0.000
Cu 0.250 0.250 0.250
Sb 0.500 0.500 0.500
Sb 0.750 0.750 0.750

---

First-principles (PBE) data for a relaxed ScAlCu crystal, as listed in the Open Quantum Materials Database.

Calculated values
* symmetry: F-43m

Cell: 4.432 4.432 4.432 Å, 60.00 60.00 60.00°
Fractional positions:
Sc 0.000 0.000 0.000
Al 0.750 0.750 0.750
Cu 0.250 0.250 0.250

---

First-principles (PBE) data for a relaxed ScAl2Cu crystal, as listed in the Open Quantum Materials Database.

Calculated values
* symmetry: F-43m

Cell: 4.493 4.493 4.493 Å, 60.00 60.00 60.00°
Fractional positions:
Sc 0.000 0.000 0.000
Al 0.500 0.500 0.500
Al 0.750 0.750 0.750
Cu 0.250 0.250 0.250

---

First-principles (PBE) data for a relaxed ScAl8Cu4 crystal, as listed in the Open Quantum Materials Database.

Calculated values
* symmetry: I4/mmm

Cell: 6.676 6.676 6.676 Å, 98.36 98.36 135.17°
Fractional positions:
Sc 0.000 0.000 0.000
Al 0.000 0.345 0.345
Al 0.000 0.655 0.655
Al 0.283 0.500 0.783
Al 0.345 0.000 0.345
Al 0.500 0.283 0.783
Al 0.500 0.717 0.217
Al 0.655 0.000 0.655
Al 0.717 0.500 0.217
Cu 0.000 0.000 0.500
Cu 0.000 0.500 0.000
Cu 0.500 0.000 0.000
Cu 0.500 0.500 0.500

---

First-principles (PBE) data for a relaxed ScAl2Cu5 crystal, as listed in the Open Quantum Materials Database.

Calculated values
* symmetry: P4/mmm

Cell: 4.250 4.250 6.064 Å, 90.00 90.00 90.00°
Fractional positions:
Sc 0.000 0.000 0.000
Al 0.000 0.000 0.500
Al 0.500 0.500 0.000
Cu 0.000 0.500 0.268
Cu 0.000 0.500 0.732
Cu 0.500 0.000 0.268
Cu 0.500 0.000 0.732
Cu 0.500 0.500 0.500

---

First-principles (PBE) data for a relaxed ScAl2Cu5 crystal, as listed in the Open Quantum Materials Database.

Calculated values
* symmetry: P4/mmm

Cell: 4.248 4.248 6.053 Å, 90.00 90.00 90.00°
Fractional positions:
Sc 0.000 0.000 0.000
Al 0.000 0.000 0.500
Al 0.500 0.500 0.000
Cu 0.000 0.500 0.267
Cu 0.000 0.500 0.733
Cu 0.500 0.000 0.267
Cu 0.500 0.000 0.733
Cu 0.500 0.500 0.500

---

First-principles (PBE) data for a relaxed Sc2AlCu2 crystal, as listed in the Open Quantum Materials Database.

Calculated values
* symmetry: I4/mmm

Cell: 5.942 5.942 5.942 Å, 137.63 137.63 61.47°
Fractional positions:
Sc 0.250 0.750 0.500
Sc 0.750 0.250 0.500
Al 0.000 0.000 0.000
Cu 0.392 0.392 0.000
Cu 0.608 0.608 0.000

---

First-principles (PBE) data for a relaxed ScAl2Cu crystal, as listed in the Open Quantum Materials Database.

Calculated values
* symmetry: F-43m

Cell: 4.496 4.496 4.496 Å, 60.00 60.00 60.00°
Fractional positions:
Sc 0.000 0.000 0.000
Al 0.500 0.500 0.500
Al 0.750 0.750 0.750
Cu 0.250 0.250 0.250

---

First-principles (PBE) data for a relaxed ScAlCu crystal, as listed in the Open Quantum Materials Database.

Calculated values
* symmetry: F-43m

Cell: 4.297 4.297 4.297 Å, 60.00 60.00 60.00°
Fractional positions:
Sc 0.000 0.000 0.000
Al 0.500 0.500 0.500
Cu 0.750 0.750 0.750

---

First-principles (PBE) data for a relaxed ScAl2Cu5 crystal, as listed in the Open Quantum Materials Database.

Calculated values
* symmetry: I4_1/amd

Cell: 7.516 7.516 7.516 Å, 133.56 133.56 67.77°
Fractional positions:
Sc 0.375 0.625 0.750
Sc 0.625 0.375 0.250
Al 0.134 0.384 0.750
Al 0.384 0.134 0.250
Al 0.616 0.866 0.750
Al 0.866 0.616 0.250
Cu 0.000 0.227 0.227
Cu 0.000 0.773 0.773
Cu 0.125 0.875 0.250
Cu 0.227 0.000 0.727
Cu 0.227 0.500 0.227
Cu 0.500 0.227 0.727
Cu 0.500 0.773 0.273
Cu 0.773 0.000 0.273
Cu 0.773 0.500 0.773
Cu 0.875 0.125 0.750

---

First-principles (PBE) data for a relaxed TmSc2Al3CuSi2 crystal, as listed in the Open Quantum Materials Database.

Calculated values
* symmetry: Amm2

Cell: 4.019 6.740 6.740 Å, 120.45 90.00 90.00°
Fractional positions:
Tm 0.000 0.000 0.000
Sc 0.000 0.185 0.592
Sc 0.000 0.592 0.185
Al 0.500 0.350 0.350
Al 0.500 0.588 0.831
Al 0.500 0.831 0.588
Cu 0.000 0.584 0.584
Si 0.500 0.263 0.922
Si 0.500 0.922 0.263

---

First-principles (PBE) data for a relaxed Tm2ScAl3CuSn2 crystal, as listed in the Open Quantum Materials Database.

Calculated values
* symmetry: Amm2

Cell: 4.178 7.148 7.148 Å, 118.96 90.00 90.00°
Fractional positions:
Tm 0.000 0.194 0.806
Tm 0.000 0.806 0.194
Sc 0.000 0.575 0.575
Al 0.500 0.195 0.423
Al 0.500 0.423 0.195
Al 0.500 0.977 0.977
Cu 0.000 0.203 0.203
Sn 0.500 0.533 0.854
Sn 0.500 0.854 0.533

---

First-principles (PBE) data for a relaxed ScTaAlCu crystal, as listed in the Open Quantum Materials Database.

Calculated values
* symmetry: F-43m

Cell: 4.603 4.603 4.603 Å, 60.00 60.00 60.00°
Fractional positions:
Sc 0.000 0.000 0.000
Ta 0.250 0.250 0.250
Al 0.500 0.500 0.500
Cu 0.750 0.750 0.750

---

First-principles (PBE) data for a relaxed ScAlCuW crystal, as listed in the Open Quantum Materials Database.

Calculated values
* symmetry: F-43m

Cell: 4.494 4.494 4.494 Å, 60.00 60.00 60.00°
Fractional positions:
Sc 0.000 0.000 0.000
Al 0.500 0.500 0.500
Cu 0.750 0.750 0.750
W 0.250 0.250 0.250

---

First-principles (PBE) data for a relaxed ScAl2ZnCu4 crystal, as listed in the Open Quantum Materials Database.

Calculated values
* symmetry: P4/mmm

Cell: 4.251 4.251 6.221 Å, 90.00 90.00 90.00°
Fractional positions:
Sc 0.000 0.000 0.000
Al 0.000 0.000 0.500
Al 0.500 0.500 0.000
Zn 0.500 0.500 0.500
Cu 0.000 0.500 0.264
Cu 0.000 0.500 0.736
Cu 0.500 0.000 0.264
Cu 0.500 0.000 0.736

---

First-principles (PBE) data for a relaxed ScAl2ZnCu4 crystal, as listed in the Open Quantum Materials Database.

Calculated values
* symmetry: I4_1/amd

Cell: 7.547 7.547 7.547 Å, 133.12 133.12 68.46°
Fractional positions:
Sc 0.375 0.625 0.750
Sc 0.625 0.375 0.250
Al 0.132 0.382 0.750
Al 0.382 0.132 0.250
Al 0.618 0.868 0.750
Al 0.868 0.618 0.250
Zn 0.125 0.875 0.250
Zn 0.875 0.125 0.750
Cu 0.000 0.231 0.231
Cu 0.000 0.769 0.769
Cu 0.231 0.000 0.731
Cu 0.231 0.500 0.231
Cu 0.500 0.231 0.731
Cu 0.500 0.769 0.269
Cu 0.769 0.000 0.269
Cu 0.769 0.500 0.769

---

First-principles (PBE) data for a relaxed ZrScAl2Cu4 crystal, as listed in the Open Quantum Materials Database.

Calculated values
* symmetry: P4/mmm

Cell: 4.371 4.371 6.236 Å, 90.00 90.00 90.00°
Fractional positions:
Zr 0.000 0.000 0.000
Sc 0.500 0.500 0.500
Al 0.000 0.000 0.500
Al 0.500 0.500 0.000
Cu 0.000 0.500 0.256
Cu 0.000 0.500 0.744
Cu 0.500 0.000 0.256
Cu 0.500 0.000 0.744

---

First-principles (PBE) data for a relaxed Al2Cu2TeSe3 crystal, as listed in the Open Quantum Materials Database.

Calculated values
* symmetry: C2

Cell: 6.953 6.953 5.744 Å, 114.02 114.02 48.83°
Fractional positions:
Al 0.130 0.130 0.393
Al 0.870 0.870 0.607
Cu 0.394 0.346 0.131
Cu 0.654 0.606 0.869
Te 0.268 0.732 0.000
Se 0.012 0.488 0.251
Se 0.512 0.988 0.749
Se 0.760 0.240 0.500

---

First-principles (PBE) data for a relaxed AlTlCuSe3 crystal, as listed in the Open Quantum Materials Database.

Calculated values
* symmetry: P2_1/m

Cell: 8.046 3.760 9.985 Å, 90.00 111.40 90.00°
Fractional positions:
Al 0.178 0.250 0.146
Al 0.822 0.750 0.854
Tl 0.248 0.750 0.715
Tl 0.752 0.250 0.285
Cu 0.431 0.750 0.410
Cu 0.569 0.250 0.590
Se 0.049 0.250 0.870
Se 0.250 0.250 0.431
Se 0.399 0.750 0.157
Se 0.601 0.250 0.843
Se 0.750 0.750 0.569
Se 0.951 0.750 0.130

---

First-principles (PBE) data for a relaxed AlCuSi2 crystal, as listed in the Open Quantum Materials Database.

Calculated values
* symmetry: F-43m

Cell: 4.362 4.362 4.362 Å, 60.00 60.00 60.00°
Fractional positions:
Al 0.000 0.000 0.000
Cu 0.250 0.250 0.250
Si 0.500 0.500 0.500
Si 0.750 0.750 0.750

---

Number 1: final energy -4.3636 eV/atom. Number 2: final energy -4.4883 eV/atom. Number 3: final energy -4.7561 eV/atom. Number 4: final energy -4.4614 eV/atom. Number 5: final energy -3.5343 eV/atom. Number 6: final energy -4.2239 eV/atom. Number 7: final energy -4.6474 eV/atom. Number 8: final energy -4.2066 eV/atom. Number 9: final energy -4.2771 eV/atom. Number 10: final energy -4.2763 eV/atom. Number 11: final energy -4.6965 eV/atom. Number 12: final energy -4.6478 eV/atom. Number 13: final energy -4.8480 eV/atom. Number 14: final energy -4.2543 eV/atom. Number 15: final energy -5.3927 eV/atom. Number 16: final energy -4.7548 eV/atom. Number 17: final energy -6.1831 eV/atom. Number 18: final energy -6.4667 eV/atom. Number 19: final energy -3.9795 eV/atom. Number 20: final energy -3.9567 eV/atom. Number 21: final energy -5.0527 eV/atom. Number 22: final energy -4.1126 eV/atom. Number 23: final energy -3.8465 eV/atom. Number 24: final energy -4.2621 eV/atom.